Record 1
DFT (PBE) results for an optimized crystal structure of PaSi4Rh6.

Cell and atoms, written as POSCAR:
```
PaSi4Rh6
1.0
7.0245 0.0000 0.0000
-3.5123 6.0834 0.0000
0.0000 0.0000 3.7952
Pa Si Rh
1 4 6
Direct
0.0000 0.0000 0.0000 Pa
0.3333 0.6667 0.0000 Si
0.4035 0.2018 0.5000 Si
0.7982 0.2018 0.5000 Si
0.7982 0.5965 0.5000 Si
0.1950 0.3899 0.5000 Rh
0.1950 0.8050 0.5000 Rh
0.5320 0.0640 0.0000 Rh
0.5320 0.4680 0.0000 Rh
0.6101 0.8050 0.5000 Rh
0.9360 0.4680 0.0000 Rh
```

## Properties
As for the formation energy from raw total energies: -0.97 eV/atom.


Record 2
DFT (PBE) results for an optimized crystal structure of Pa2SiRh3.

Cell and atoms, written as POSCAR:
```
Pa2SiRh3
1.0
0.0000 4.5194 7.6138
3.2325 0.0000 7.6138
3.2325 4.5194 0.0000
Pa Si Rh
4 2 6
Direct
0.2351 0.7649 0.7649 Pa
0.2500 0.2500 0.2500 Pa
0.7500 0.7500 0.7500 Pa
0.7649 0.2351 0.2351 Pa
0.3319 0.3319 0.6681 Si
0.6681 0.6681 0.3319 Si
0.1736 0.1736 0.8264 Rh
0.1855 0.6351 0.3649 Rh
0.3649 0.8145 0.1855 Rh
0.6351 0.1855 0.8145 Rh
0.8145 0.3649 0.6351 Rh
0.8264 0.8264 0.1736 Rh
```

## Properties
As for the formation energy from raw total energies: -0.73 eV/atom.


Record 3
DFT (PBE) results for an optimized crystal structure of Pa2Si4Rh3.

Cell and atoms, written as POSCAR:
```
Pa2Si4Rh3
1.0
2.8078 -7.1984 0.0000
2.8078 7.1984 0.0000
0.0000 0.0000 7.3589
Pa Si Rh
4 8 6
Direct
0.1055 0.8945 0.9083 Pa
0.3945 0.6055 0.4083 Pa
0.6055 0.3945 0.5917 Pa
0.8945 0.1055 0.0917 Pa
0.1794 0.8206 0.5186 Si
0.1895 0.3105 0.7500 Si
0.3105 0.1895 0.2500 Si
0.3206 0.6794 0.0186 Si
0.6794 0.3206 0.9814 Si
0.6895 0.8105 0.7500 Si
0.8105 0.6895 0.2500 Si
0.8206 0.1794 0.4814 Si
0.0000 0.0000 0.5000 Rh
0.0196 0.4804 0.7500 Rh
0.4804 0.0196 0.2500 Rh
0.5000 0.5000 0.0000 Rh
0.5196 0.9804 0.7500 Rh
0.9804 0.5196 0.2500 Rh
```

## Properties
As for the formation energy from raw total energies: -0.86 eV/atom.


Record 4
DFT (PBE) results for an optimized crystal structure of Pa2SiRh.

Cell and atoms, written as POSCAR:
```
Pa2SiRh
1.0
1.5710 0.9070 9.8043
-1.5710 0.9070 9.8043
0.0000 -1.8140 9.8043
Pa Si Rh
2 1 1
Direct
0.0862 0.0862 0.0862 Pa
0.9138 0.9138 0.9138 Pa
0.5000 0.5000 0.5000 Si
0.0000 0.0000 0.0000 Rh
```

## Properties
The value obtained for the distance to the lowest polymorph of the same formula is 0.587 eV/atom. As for the formation energy from raw total energies: -0.04 eV/atom.


Record 5
DFT (PBE) results for an optimized crystal structure of Pa2Si2Rh.

Cell and atoms, written as POSCAR:
```
Pa2Si2Rh
1.0
-1.8901 2.8092 4.4743
1.8901 -2.8092 4.4743
1.8901 2.8092 -4.4743
Pa Si Rh
2 2 1
Direct
0.2191 0.2191 0.0000 Pa
0.7809 0.7809 0.0000 Pa
0.2152 0.5000 0.7152 Si
0.7848 0.5000 0.2848 Si
0.5000 0.0000 0.5000 Rh
```

## Properties
As for the formation energy from raw total energies: -0.75 eV/atom.


Record 6
DFT (PBE) results for an optimized crystal structure of PaSi3Rh3.

Cell and atoms, written as POSCAR:
```
PaSi3Rh3
1.0
6.4686 0.0000 0.0000
0.0000 6.4686 0.0000
0.0000 0.0000 6.4686
Pa Si Rh
2 6 6
Direct
0.0000 0.0000 0.0000 Pa
0.5000 0.5000 0.5000 Pa
0.0000 0.2500 0.5000 Si
0.0000 0.7500 0.5000 Si
0.2500 0.5000 0.0000 Si
0.5000 0.0000 0.2500 Si
0.5000 0.0000 0.7500 Si
0.7500 0.5000 0.0000 Si
0.0000 0.5000 0.2500 Rh
0.0000 0.5000 0.7500 Rh
0.2500 0.0000 0.5000 Rh
0.5000 0.2500 0.0000 Rh
0.5000 0.7500 0.0000 Rh
0.7500 0.0000 0.5000 Rh
```

## Properties
The value obtained for the distance to the lowest polymorph of the same formula is 0.382 eV/atom. As for the formation energy from raw total energies: -0.30 eV/atom.


Record 7
DFT (PBE) results for an optimized crystal structure of Pa4Si6Rh7.

Cell and atoms, written as POSCAR:
```
Pa4Si6Rh7
1.0
-4.1666 4.1666 4.1666
4.1666 -4.1666 4.1666
4.1666 4.1666 -4.1666
Pa Si Rh
4 6 7
Direct
0.0000 0.0000 0.5000 Pa
0.0000 0.5000 0.0000 Pa
0.5000 0.0000 0.0000 Pa
0.5000 0.5000 0.5000 Pa
0.0000 0.3181 0.3181 Si
0.0000 0.6819 0.6819 Si
0.3181 0.0000 0.3181 Si
0.3181 0.3181 0.0000 Si
0.6819 0.0000 0.6819 Si
0.6819 0.6819 0.0000 Si
0.0000 0.0000 0.0000 Rh
0.2500 0.5000 0.7500 Rh
0.2500 0.7500 0.5000 Rh
0.5000 0.2500 0.7500 Rh
0.5000 0.7500 0.2500 Rh
0.7500 0.2500 0.5000 Rh
0.7500 0.5000 0.2500 Rh
```

## Properties
As for the formation energy from raw total energies: -0.86 eV/atom.


Record 8
DFT (PBE) results for an optimized crystal structure of PaSi2Rh.

Cell and atoms, written as POSCAR:
```
PaSi2Rh
1.0
13.3108 0.0000 0.0000
0.0000 3.9903 0.0000
0.0000 0.0000 10.4685
Pa Si Rh
8 16 8
Direct
0.0494 0.2500 0.2418 Pa
0.1970 0.7500 0.9678 Pa
0.3030 0.2500 0.4678 Pa
0.4506 0.7500 0.7418 Pa
0.5494 0.2500 0.2582 Pa
0.6970 0.7500 0.5322 Pa
0.8030 0.2500 0.0322 Pa
0.9506 0.7500 0.7582 Pa
0.0276 0.2500 0.9563 Si
0.1150 0.2500 0.7695 Si
0.1238 0.7500 0.4555 Si
0.2084 0.7500 0.2571 Si
0.2916 0.2500 0.7571 Si
0.3762 0.2500 0.9555 Si
0.3850 0.7500 0.2695 Si
0.4724 0.7500 0.4563 Si
0.5276 0.2500 0.5437 Si
0.6150 0.2500 0.7305 Si
0.6238 0.7500 0.0445 Si
0.7084 0.7500 0.2429 Si
0.7916 0.2500 0.7429 Si
0.8762 0.2500 0.5445 Si
0.8850 0.7500 0.2305 Si
0.9724 0.7500 0.0437 Si
0.0617 0.2500 0.5535 Rh
0.2012 0.7500 0.6688 Rh
0.2988 0.2500 0.1688 Rh
0.4383 0.7500 0.0535 Rh
0.5617 0.2500 0.9465 Rh
0.7012 0.7500 0.8312 Rh
0.7988 0.2500 0.3312 Rh
0.9383 0.7500 0.4465 Rh
```

## Properties
As for the formation energy from raw total energies: -0.78 eV/atom.


Record 9
DFT (PBE) results for an optimized crystal structure of Sm2PaSi3Rh12.

Cell and atoms, written as POSCAR:
```
Sm2PaSi3Rh12
1.0
4.5106 2.6042 4.2961
-4.5106 2.6042 4.2961
0.0000 -5.2084 4.2961
Sm Pa Si Rh
2 1 3 12
Direct
0.1331 0.1331 0.1331 Sm
0.8669 0.8669 0.8669 Sm
0.5000 0.5000 0.5000 Pa
0.0000 0.5000 0.5000 Si
0.5000 0.0000 0.5000 Si
0.5000 0.5000 0.0000 Si
0.1282 0.1282 0.5810 Rh
0.1282 0.5810 0.1282 Rh
0.1783 0.6831 0.6831 Rh
0.3169 0.3169 0.8217 Rh
0.3169 0.8217 0.3169 Rh
0.4190 0.8718 0.8718 Rh
0.5810 0.1282 0.1282 Rh
0.6831 0.1783 0.6831 Rh
0.6831 0.6831 0.1783 Rh
0.8217 0.3169 0.3169 Rh
0.8718 0.4190 0.8718 Rh
0.8718 0.8718 0.4190 Rh
```

## Properties
As for the formation energy from raw total energies: -0.45 eV/atom.


Record 10
DFT (PBE) results for an optimized crystal structure of Pa2Si3SnRh4.

Cell and atoms, written as POSCAR:
```
Pa2Si3SnRh4
1.0
4.0259 0.0000 0.0000
0.0000 4.0259 0.0000
0.0000 0.0000 10.8530
Pa Si Sn Rh
2 3 1 4
Direct
0.0000 0.5000 0.2347 Pa
0.5000 0.0000 0.7653 Pa
0.0000 0.5000 0.8763 Si
0.5000 0.0000 0.1237 Si
0.5000 0.5000 0.5000 Si
0.0000 0.0000 0.5000 Sn
0.0000 0.0000 0.0000 Rh
0.0000 0.5000 0.6598 Rh
0.5000 0.0000 0.3402 Rh
0.5000 0.5000 0.0000 Rh
```

## Properties
As for the formation energy from raw total energies: -0.85 eV/atom.


Record 11
DFT (PBE) results for an optimized crystal structure of PaTaSi2Rh.

Cell and atoms, written as POSCAR:
```
PaTaSi2Rh
1.0
-2.0238 2.0238 5.4191
2.0238 -2.0238 5.4191
2.0238 2.0238 -5.4191
Pa Ta Si Rh
1 1 2 1
Direct
0.0000 0.0000 0.0000 Pa
0.2500 0.7500 0.5000 Ta
0.3915 0.3915 0.0000 Si
0.6085 0.6085 0.0000 Si
0.7500 0.2500 0.5000 Rh
```

## Properties
As for the formation energy from raw total energies: -0.61 eV/atom.


Record 12
DFT (PBE) results for an optimized crystal structure of TbPaSi2Rh5.

Cell and atoms, written as POSCAR:
```
TbPaSi2Rh5
1.0
3.9943 0.0000 0.0000
0.0000 3.9943 0.0000
0.0000 0.0000 10.9990
Tb Pa Si Rh
1 1 2 5
Direct
0.0000 0.0000 0.0000 Tb
0.5000 0.5000 0.5000 Pa
0.5000 0.5000 0.2087 Si
0.5000 0.5000 0.7913 Si
0.0000 0.5000 0.3255 Rh
0.0000 0.5000 0.6745 Rh
0.5000 0.0000 0.3255 Rh
0.5000 0.0000 0.6745 Rh
0.5000 0.5000 0.0000 Rh
```

## Properties
As for the formation energy from raw total energies: -0.59 eV/atom.


Record 13
DFT (PBE) results for an optimized crystal structure of Pa3Si3Tc2Rh.

Cell and atoms, written as POSCAR:
```
Pa3Si3Tc2Rh
1.0
6.9842 0.0000 0.0000
-3.4921 6.0485 0.0000
0.0000 0.0000 3.9179
Pa Si Tc Rh
3 3 2 1
Direct
0.0000 0.5813 0.0000 Pa
0.4187 0.4187 0.0000 Pa
0.5813 0.0000 0.0000 Pa
0.0000 0.2441 0.5000 Si
0.2441 0.0000 0.5000 Si
0.7559 0.7559 0.5000 Si
0.3333 0.6667 0.5000 Tc
0.6667 0.3333 0.5000 Tc
0.0000 0.0000 0.0000 Rh
```

## Properties
As for the formation energy from raw total energies: -0.66 eV/atom.


Record 14
DFT (PBE) results for an optimized crystal structure of Pa2Si4TcRh3.

Cell and atoms, written as POSCAR:
```
Pa2Si4TcRh3
1.0
4.1882 0.0000 0.0000
0.0000 4.1882 0.0000
0.0000 0.0000 9.5704
Pa Si Tc Rh
2 4 1 3
Direct
0.0000 0.5000 0.2442 Pa
0.5000 0.0000 0.7558 Pa
0.0000 0.0000 0.5000 Si
0.0000 0.5000 0.8706 Si
0.5000 0.0000 0.1294 Si
0.5000 0.5000 0.5000 Si
0.5000 0.5000 0.0000 Tc
0.0000 0.0000 0.0000 Rh
0.0000 0.5000 0.6235 Rh
0.5000 0.0000 0.3765 Rh
```

## Properties
As for the formation energy from raw total energies: -0.89 eV/atom.


Record 15
DFT (PBE) results for an optimized crystal structure of PaSiTcRh.

Cell and atoms, written as POSCAR:
```
PaSiTcRh
1.0
3.6066 0.0000 0.0000
0.0000 4.5478 0.0000
0.0000 0.0000 4.7129
Pa Si Tc Rh
1 1 1 1
Direct
0.0000 0.0000 0.0000 Pa
0.5000 0.5000 0.5000 Si
0.5000 0.5000 0.0000 Tc
0.5000 0.0000 0.5000 Rh
```

## Properties
The value obtained for the distance to the lowest polymorph of the same formula is 0.121 eV/atom. As for the formation energy from raw total energies: -0.27 eV/atom.


Record 16
DFT (PBE) results for an optimized crystal structure of PaSiTcRh.

Cell and atoms, written as POSCAR:
```
PaSiTcRh
1.0
0.0000 3.2570 3.2570
3.2570 0.0000 3.2570
3.2570 3.2570 0.0000
Pa Si Tc Rh
1 1 1 1
Direct
0.0000 0.0000 0.0000 Pa
0.5000 0.5000 0.5000 Si
0.7500 0.7500 0.7500 Tc
0.2500 0.2500 0.2500 Rh
```

## Properties
The value obtained for the distance to the lowest polymorph of the same formula is 0.000 eV/atom. As for the formation energy from raw total energies: -0.39 eV/atom.


Record 17
DFT (PBE) results for an optimized crystal structure of Th2PaSi3Rh12.

Cell and atoms, written as POSCAR:
```
Th2PaSi3Rh12
1.0
4.0544 2.3408 5.8970
-4.0544 2.3408 5.8970
0.0000 -4.6816 5.8970
Th Pa Si Rh
2 1 3 12
Direct
0.1010 0.1010 0.1010 Th
0.8990 0.8990 0.8990 Th
0.5000 0.5000 0.5000 Pa
0.0000 0.5000 0.5000 Si
0.5000 0.0000 0.5000 Si
0.5000 0.5000 0.0000 Si
0.1075 0.6475 0.6475 Rh
0.1426 0.1426 0.6022 Rh
0.1426 0.6022 0.1426 Rh
0.3525 0.3525 0.8925 Rh
0.3525 0.8925 0.3525 Rh
0.3978 0.8574 0.8574 Rh
0.6022 0.1426 0.1426 Rh
0.6475 0.1075 0.6475 Rh
0.6475 0.6475 0.1075 Rh
0.8574 0.3978 0.8574 Rh
0.8574 0.8574 0.3978 Rh
0.8925 0.3525 0.3525 Rh
```

## Properties
As for the formation energy from raw total energies: -0.43 eV/atom.


Record 18
DFT (PBE) results for an optimized crystal structure of ThPaSi2Rh5.

Cell and atoms, written as POSCAR:
```
ThPaSi2Rh5
1.0
4.0243 0.0000 0.0000
0.0000 4.0243 0.0000
0.0000 0.0000 10.9625
Th Pa Si Rh
1 1 2 5
Direct
0.0000 0.0000 0.0000 Th
0.0000 0.0000 0.5000 Pa
0.5000 0.5000 0.2141 Si
0.5000 0.5000 0.7859 Si
0.0000 0.5000 0.3250 Rh
0.0000 0.5000 0.6750 Rh
0.5000 0.0000 0.3250 Rh
0.5000 0.0000 0.6750 Rh
0.5000 0.5000 0.0000 Rh
```

## Properties
As for the formation energy from raw total energies: -0.78 eV/atom.


Record 19
DFT (PBE) results for an optimized crystal structure of Pa2TiSi3Rh4.

Cell and atoms, written as POSCAR:
```
Pa2TiSi3Rh4
1.0
4.0531 0.0000 0.0000
0.0000 4.0531 0.0000
0.0000 0.0000 10.3573
Pa Ti Si Rh
2 1 3 4
Direct
0.0000 0.5000 0.2447 Pa
0.5000 0.0000 0.7553 Pa
0.0000 0.0000 0.5000 Ti
0.0000 0.5000 0.8714 Si
0.5000 0.0000 0.1286 Si
0.5000 0.5000 0.5000 Si
0.0000 0.0000 0.0000 Rh
0.0000 0.5000 0.6415 Rh
0.5000 0.0000 0.3585 Rh
0.5000 0.5000 0.0000 Rh
```

## Properties
As for the formation energy from raw total energies: -0.93 eV/atom.


Record 20
DFT (PBE) results for an optimized crystal structure of TmPaSi2Rh5.

Cell and atoms, written as POSCAR:
```
TmPaSi2Rh5
1.0
3.9674 0.0000 0.0000
0.0000 3.9674 0.0000
0.0000 0.0000 11.0694
Tm Pa Si Rh
1 1 2 5
Direct
0.0000 0.0000 0.0000 Tm
0.5000 0.5000 0.5000 Pa
0.5000 0.5000 0.2072 Si
0.5000 0.5000 0.7928 Si
0.0000 0.5000 0.3258 Rh
0.0000 0.5000 0.6742 Rh
0.5000 0.0000 0.3258 Rh
0.5000 0.0000 0.6742 Rh
0.5000 0.5000 0.0000 Rh
```

## Properties
As for the formation energy from raw total energies: -0.57 eV/atom.


Record 21
DFT (PBE) results for an optimized crystal structure of Pa2Zn2Si4Rh.

Cell and atoms, written as POSCAR:
```
Pa2Zn2Si4Rh
1.0
-3.0204 3.0204 4.2503
3.0204 -3.0204 4.2503
3.0204 3.0204 -4.2503
Pa Zn Si Rh
2 2 4 1
Direct
0.2500 0.7500 0.5000 Pa
0.7500 0.2500 0.5000 Pa
0.2061 0.2061 0.0000 Zn
0.7939 0.7939 0.0000 Zn
0.2190 0.2190 0.4380 Si
0.2190 0.7810 0.0000 Si
0.7810 0.2190 0.0000 Si
0.7810 0.7810 0.5619 Si
0.5000 0.5000 0.0000 Rh
```

## Properties
As for the formation energy from raw total energies: -0.47 eV/atom.